[1]
First-principles (GGA-PBE) data for an optimized crystal structure of LiZrAs2Se, as listed in Alexandria via LeMat-Bulk.

The structure in CIF format:
```
data_LiZrAs2Se
_chemical_formula_sum 'Li1 Zr1 As2 Se1'
_cell_length_a 5.222
_cell_length_b 5.222
_cell_length_c 5.256
_cell_angle_alpha 90.00
_cell_angle_beta 90.00
_cell_angle_gamma 90.00
_space_group_name_H-M_alt 'P 1'
_space_group_IT_number 1
loop_
_space_group_symop_operation_xyz
'x,y,z'
loop_
_atom_site_label
_atom_site_fract_x
_atom_site_fract_y
_atom_site_fract_z
Li1 0.000 0.000 0.000
Zr1 0.500 0.500 0.500
As1 0.000 0.500 0.500
As2 0.500 0.000 0.500
Se1 0.500 0.500 0.000
```

Values from the calculation:
excess energy over the best structure of this formula in the dataset: 0.0 kJ/mol of formula units
SG: P4/mmm
total moment: 0.0 μB per cell



[2]
First-principles (GGA-PBE) data for an optimized crystal structure of LiSiAs4, as listed in Alexandria via LeMat-Bulk.

The structure in CIF format:
```
data_LiSiAs4
_chemical_formula_sum 'Li1 Si1 As4'
_cell_length_a 5.544
_cell_length_b 5.544
_cell_length_c 5.544
_cell_angle_alpha 60.00
_cell_angle_beta 60.00
_cell_angle_gamma 60.00
_space_group_name_H-M_alt 'P 1'
_space_group_IT_number 1
loop_
_space_group_symop_operation_xyz
'x,y,z'
loop_
_atom_site_label
_atom_site_fract_x
_atom_site_fract_y
_atom_site_fract_z
Li1 0.000 0.000 0.000
Si1 0.750 0.750 0.750
As1 0.376 0.376 0.376
As2 0.376 0.376 0.873
As3 0.376 0.873 0.376
As4 0.873 0.376 0.376
```

Values from the calculation:
SG: F-43m
total moment: 0.0 μB per cell



[3]
First-principles (GGA-PBE) data for an optimized crystal structure of Li3SiAs2, as listed in Alexandria via LeMat-Bulk.

The structure in CIF format:
```
data_Li3SiAs2
_chemical_formula_sum 'Li6 Si2 As4'
_cell_length_a 7.339
_cell_length_b 7.339
_cell_length_c 7.339
_cell_angle_alpha 132.21
_cell_angle_beta 75.45
_cell_angle_gamma 125.40
_space_group_name_H-M_alt 'P 1'
_space_group_IT_number 1
loop_
_space_group_symop_operation_xyz
'x,y,z'
loop_
_atom_site_label
_atom_site_fract_x
_atom_site_fract_y
_atom_site_fract_z
Li1 0.025 0.750 0.275
Li2 0.250 0.250 0.000
Li3 0.475 0.750 0.725
Li4 0.525 0.250 0.275
Li5 0.750 0.750 0.000
Li6 0.975 0.250 0.725
Si1 0.000 0.500 0.500
Si2 0.500 0.000 0.500
As1 0.135 0.222 0.357
As2 0.365 0.722 0.087
As3 0.635 0.278 0.913
As4 0.865 0.778 0.643
```

Values from the calculation:
SG: Ibam
total moment: 0.0 μB per cell



| no. | calculated total energy (eV/atom) | formation energy from raw total energies (meV per atom) |
| --- | --- | --- |
| 1 | -4.879 | -230 |
| 2 | -3.979 | 343 |
| 3 | -3.662 | -251 |